# 1
{
  "formula": "ScCdBW2",
  "functional": "PBE",
  "state": "relaxed",
  "lattice_angstrom": [[4.6885, 0.0000, 0.0000], [0.0000, 5.2790, 0.0000], [0.0000, 0.0000, 4.6885]],
  "species": ["Cd", "W", "W", "B", "Sc"],
  "frac_coords": [[0.0000, 0.5000, 0.0000], [0.0000, 0.0000, 0.5000], [0.5000, 0.0000, 0.0000], [0.5000, 0.5000, 0.5000], [0.0000, 0.0000, 0.0000]],
  "spacegroup": "P4/mmm",
  "delta_e_f_mev_per_atom": 3002,
  "e_above_lowest_polymorph_ev_per_atom": 2.646
}

***

# 2
{
  "formula": "V3Te4Se2",
  "functional": "PBE",
  "state": "relaxed",
  "lattice_angstrom": [[-1.6986, -3.0220, 0.5687], [3.4821, 0.1663, 0.4342], [-2.9645, 5.7273, 21.5804]],
  "species": ["Te", "Te", "Te", "Te", "V", "V", "V", "Se", "Se"],
  "frac_coords": [[0.6667, 0.3333, 0.7646], [0.6667, 0.3333, 0.3937], [0.6667, 0.3333, 0.2354], [0.6667, 0.3333, 0.6063], [0.0000, 0.0000, 0.3145], [0.0000, 0.0000, 0.6855], [0.6667, 0.3333, 0.0000], [0.0000, 0.0000, 0.0692], [0.0000, 0.0000, 0.9308]],
  "formation_energy_uncorrected_ev_per_atom": -0.42,
  "spacegroup": "P-6m2"
}

***

# 3
{
  "formula": "CsHg2PbBr6",
  "functional": "PBE",
  "state": "relaxed",
  "lattice_angstrom": [[-1.9779, 5.7089, 4.9763], [3.1942, -6.6193, 2.7056], [6.6387, 1.2027, -4.9029]],
  "species": ["Br", "Br", "Br", "Br", "Br", "Br", "Hg", "Hg", "Cs", "Pb"],
  "frac_coords": [[0.5860, 0.0152, 0.6723], [0.7323, 0.6760, 0.1491], [0.1166, 0.1005, 0.6724], [0.1080, 0.4313, 0.1491], [0.6717, 0.5702, 0.6727], [0.4869, 0.0548, 0.1490], [0.5922, 0.7955, 0.3737], [0.6266, 0.3126, 0.9255], [0.0641, 0.5315, 0.5812], [0.9813, 0.9901, 0.9574]],
  "formation_energy_uncorrected_ev_per_atom": -0.79,
  "spacegroup": "P1"
}

***

# 4
{
  "formula": "ScTe3Ru",
  "functional": "PBE",
  "state": "relaxed",
  "lattice_angstrom": [[-3.0442, 0.4887, -4.1765], [4.0843, -0.8826, -3.0803], [-1.0001, -5.0923, 0.1331]],
  "species": ["Te", "Te", "Te", "Ru", "Sc"],
  "frac_coords": [[0.5000, 0.0000, 0.0000], [0.0000, 0.5000, 0.0000], [0.0000, 0.0000, 0.5000], [0.0000, 0.0000, 0.0000], [0.5000, 0.5000, 0.5000]],
  "formation_energy_uncorrected_ev_per_atom": 0.21,
  "spacegroup": "Pm-3m",
  "e_above_lowest_polymorph_ev_per_atom": 0.000
}

***

# 5
{
  "formula": "In2Ni3H2",
  "functional": "PBE",
  "state": "relaxed",
  "lattice_angstrom": [[-2.3164, -1.5970, 0.4861], [2.7776, -2.2234, -2.4097], [2.6595, -1.7437, 7.0772]],
  "species": ["Ni", "Ni", "Ni", "In", "In", "H", "H"],
  "frac_coords": [[0.7518, 0.5056, 0.1415], [0.2482, 0.4944, 0.8585], [0.0000, 0.0000, 0.0000], [0.9122, 0.8190, 0.6482], [0.0878, 0.1810, 0.3518], [0.3684, 0.7382, 0.0670], [0.6316, 0.2618, 0.9330]],
  "total_energy_ev_per_atom": -4.1521,
  "spacegroup": "P-1"
}

***

# 6
{
  "formula": "Dy2ScSn",
  "functional": "PBE",
  "state": "relaxed",
  "lattice_angstrom": [[3.4388, 0.0000, 0.0000], [1.7194, 2.9781, 0.0000], [1.7194, 0.9927, 11.6064]],
  "species": ["Sc", "Sn", "Dy", "Dy"],
  "frac_coords": [[0.5000, 0.5000, 0.5000], [0.0000, 0.0000, 0.0000], [0.0898, 0.0898, 0.7307], [0.9102, 0.9102, 0.2693]],
  "spacegroup": "R-3m",
  "delta_e_f_mev_per_atom": 54,
  "e_above_lowest_polymorph_ev_per_atom": 0.462
}